Material: BaCaCrBiO6
Method: DFT, PBE+U
State: optimized geometry

Properties
The total magnetic moment is 0.299 μB/atom. The calculation puts the electronic total energy at -63.80 eV per cell. Its space group is F-43m, No. 216.

a = 5.8212 Å, b = 5.8212 Å, c = 5.8212 Å
α = 60.00°, β = 60.00°, γ = 60.00°
With the nearest neighbours (Å) after each atom.
Sites, in units of the cell vectors:
Ca 0.7500 0.7500 0.7500  12 O 2.91
O 0.7447 0.2553 0.7447  1 Cr 2.01, 1 Bi 2.10
O 0.7447 0.2553 0.2553  1 Cr 2.01, 1 Bi 2.10
O 0.2553 0.2553 0.7447  1 Cr 2.01, 1 Bi 2.10
O 0.2553 0.7447 0.7447  1 Cr 2.01, 1 Bi 2.10
O 0.7447 0.7447 0.2553  1 Cr 2.01, 1 Bi 2.10
O 0.2553 0.7447 0.2553  1 Cr 2.01, 1 Bi 2.10
Ba 0.2500 0.2500 0.2500  12 O 2.91
Cr 0.5000 0.5000 0.5000  6 O 2.01
Bi 0.0000 0.0000 0.0000  6 O 2.10